Below is a relaxed Te2H2I crystal, with properties calculated at the GGA-PBE level.

The structure in POSCAR format:
```
Te2H2I
1.0
8.471 0.000 0.000
0.000 8.471 0.000
0.000 0.000 3.510
I H Te
2 4 4
Cartesian
0.000 0.000 0.000 I
4.236 4.236 0.000 I
0.731 4.966 1.755 H
4.966 7.741 1.755 H
7.741 3.505 1.755 H
3.505 0.731 1.755 H
3.287 7.523 0.000 Te
7.523 5.184 0.000 Te
5.184 0.948 0.000 Te
0.948 3.287 0.000 Te
```

Properties
Space group   P4/mbm, No. 127
Energy above the lowest structure with this stoichiometry   152 meV per atom
Calculated density   5.064 Mg/m³

Below is a relaxed Te2H2I crystal, with properties calculated at the GGA-PBE level.

The structure in POSCAR format:
```
Te2H2I
1.0
-3.785 -2.098 -0.752
0.335 -2.001 3.896
-4.226 1.695 3.710
I H Te
1 2 2
Cartesian
0.000 0.000 0.000 I
-4.868 -1.226 2.265 H
-2.808 -1.178 4.589 H
-2.493 -0.900 2.229 Te
-5.183 -1.504 4.626 Te
```

Properties
Space group   I4/mmm, No. 139
Energy above the lowest structure with this stoichiometry   0 meV per atom
Calculated density   6.631 Mg/m³

Below is a relaxed Te4H2I3 crystal, with properties calculated at the GGA-PBE level.

The structure in POSCAR format:
```
Te4H2I3
1.0
5.799 -1.066 -0.763
-1.044 11.540 -0.899
-1.044 2.868 11.215
Te H I
8 4 6
Cartesian
1.069 11.996 2.948 Te
-0.258 7.219 -0.473 Te
2.642 1.346 6.605 Te
3.969 6.122 10.025 Te
0.001 5.425 4.002 Te
0.811 8.339 6.088 Te
3.711 7.917 5.551 Te
2.900 5.003 3.465 Te
2.951 4.211 4.955 H
3.660 6.761 6.781 H
0.760 9.131 4.598 H
0.051 6.580 2.771 H
5.002 0.228 2.945 I
1.609 9.947 9.904 I
-1.291 13.114 6.607 I
2.102 3.395 -0.352 I
0.406 9.306 1.658 I
3.305 4.035 7.894 I
```

Properties
Space group   Imma, No. 74
Total energy   -2.57 eV per atom
Calculated density   3.981 Mg/m³

Below is a relaxed TeHI3 crystal, with properties calculated at the GGA-PBE level.

The structure in POSCAR format:
```
TeHI3
1.0
6.030 0.000 0.000
0.000 6.030 0.000
0.000 0.000 6.030
I H Te
3 1 1
Cartesian
0.000 3.015 0.000 I
0.000 0.000 3.015 I
3.015 0.000 0.000 I
3.015 3.015 3.015 H
0.000 0.000 0.000 Te
```

Properties
Space group   Pm-3m, No. 221
Energy above the lowest structure with this stoichiometry   0 meV per atom
Calculated density   3.858 Mg/m³